[1]
The following is a DFT calculation (GGA-PBE) of a geometry-optimized BaIn2GaPt structure.

Cell lengths 5.3300, 5.3300, 4.9623 Å; angles 90.00, 90.00, 90.00 degrees
Last column: nearest neighbours and their distance in Å.
Sites, in units of the cell vectors:
Ba1 0.0000 0.0000 0.0000  8 In 3.64, 4 Ga 3.77
In1 0.0000 0.5000 0.5000  2 Pt 2.66
In2 0.5000 0.0000 0.5000  2 Pt 2.66
Ga1 0.5000 0.5000 0.0000  2 Pt 2.48
Pt1 0.5000 0.5000 0.5000  2 Ga 2.48, 4 In 2.66

**Fermi-level density of states**: 4.3 states/eV/f.u.
**Electronic total energy**: -3.660 eV/atom
**ρ**: 7442 kg/m³
**E_form**: -0.366 eV per atom



[2]
The following is a DFT calculation (GGA-PBE) of a geometry-optimized CuReSb2 structure.

Cell lengths 5.4486, 5.4486, 5.4486 Å; angles 136.77, 136.77, 62.79 degrees
Last column: nearest neighbours and their distance in Å.
Sites, in units of the cell vectors:
Cu1 0.0000 0.0000 0.0000  8 Sb 2.84-3.07, 4 Re 3.07
Re1 0.2500 0.7500 0.5000  8 Sb 2.84-3.07, 4 Cu 3.07
Sb1 0.5000 0.5000 0.0000  4 Cu 2.84, 4 Sb 3.07, 4 Re 3.07
Sb2 0.7500 0.2500 0.5000  4 Re 2.84, 4 Sb 3.07, 4 Cu 3.07

**Fermi-level density of states**: 4.1 states/eV/f.u.
**E_form (uncorrected)**: 737.1 meV per atom
**Electronic total energy**: -5.460 eV/atom
**ρ**: 10930 kg/m³
**Relative energy among the computed polymorphs**: 415 meV/atom



[3]
The following is a DFT calculation (GGA-PBE) of a geometry-optimized Ce2YHf structure.

Cell lengths 3.3006, 3.3006, 10.1350 Å; angles 90.00, 90.00, 90.00 degrees
Last column: nearest neighbours and their distance in Å.
Sites, in units of the cell vectors:
Ce1 0.0000 0.0000 0.2326  4 Ce 3.30, 4 Hf 3.32, 4 Y 3.58
Ce2 0.0000 0.0000 0.7674  4 Ce 3.30, 4 Hf 3.32, 4 Y 3.58
Y1 0.5000 0.5000 0.5000  4 Y 3.30, 8 Ce 3.58
Hf1 0.5000 0.5000 0.0000  4 Hf 3.30, 8 Ce 3.32

**Fermi-level density of states**: 10.2 states/eV/f.u.
**Electronic total energy**: -6.924 eV/atom
**ρ**: 8236 kg/m³
**E_form**: 0.147 eV per atom
**Relative energy among the computed polymorphs**: 0 meV/atom



[4]
The following is a DFT calculation (GGA-PBE) of a geometry-optimized La3Pm5Pr3 structure.

Cell lengths 9.8225, 9.8225, 5.6944 Å; angles 90.00, 90.00, 120.00 degrees
Last column: nearest neighbours and their distance in Å.
Sites, in units of the cell vectors:
La1 0.0000 0.4074 0.0000  2 Pr 3.14
La2 0.4074 0.0000 0.0000  2 Pr 3.14
La3 0.5926 0.5926 0.0000  2 Pr 3.14
Pm1 0.0000 0.6350 0.5000  2 Pm 3.13, 2 Pr 3.23
Pm2 0.3333 0.6667 0.5000  3 Pm 3.13
Pm3 0.3650 0.3650 0.5000  2 Pm 3.13, 2 Pr 3.23
Pm4 0.6350 0.0000 0.5000  2 Pm 3.13, 2 Pr 3.23
Pm5 0.6667 0.3333 0.5000  3 Pm 3.13
Pr1 0.0000 0.2718 0.5000  2 La 3.14, 2 Pm 3.23
Pr2 0.2718 0.0000 0.5000  2 La 3.14, 2 Pm 3.23
Pr3 0.7282 0.7282 0.5000  2 La 3.14, 2 Pm 3.23

**Fermi-level density of states**: 18.8 states/eV/f.u.
**Electronic total energy**: -4.153 eV/atom
**ρ**: 5460 kg/m³
**E_form**: 0.653 eV per atom
**Relative energy among the computed polymorphs**: 0 meV/atom